1.
NaSbSe3, relaxed, DFT PBE; theoretical density = 4063 kg/m3; total moment = 0.00 μB/atom; formation energy from raw total energies = -2.22 kcal/mol of atoms; raw total energy = -3.2752 eV/atom; DOS(E_F) = 0.89 states/eV per atom; E above lowest polymorph = 316 meV/atom
1.0
5.383 0.000 0.000
0.000 5.383 0.000
0.000 0.000 5.383
Sb Na Se
1 1 3
Direct
0.000 0.000 0.000 Sb
0.500 0.500 0.500 Na
0.000 0.500 0.000 Se
0.000 0.000 0.500 Se
0.500 0.000 0.000 Se

=====

2.
LaNdYEr2, relaxed, DFT PBE; theoretical density = 6637 kg/m3; total moment = 0.00 μB/atom; E_form = 352.6 meV per atom; raw total energy = -4.7044 eV/atom; DOS(E_F) = 1.73 states/eV per atom
1.0
-4.083 -2.238 5.539
-6.171 -2.030 -5.370
5.297 -4.318 2.160
La Nd Y Er
2 2 2 4
Direct
0.250 0.270 0.541 La
0.750 0.730 0.459 La
0.250 0.007 0.014 Nd
0.750 0.993 0.986 Nd
0.750 0.278 0.557 Y
0.250 0.722 0.443 Y
0.500 0.313 0.000 Er
0.500 0.687 0.000 Er
0.000 0.313 0.000 Er
0.000 0.687 0.000 Er

=====

3.
ZrHgW2, relaxed, DFT PBE; theoretical density = 14681 kg/m3; total moment = 0.00 μB/atom; E_form = 574.5 meV per atom; raw total energy = -8.1145 eV/atom; DOS(E_F) = 0.76 states/eV per atom
1.0
2.813 0.000 0.000
0.000 2.813 0.000
0.000 0.000 9.429
Hg Zr W
1 1 2
Direct
0.500 0.500 0.750 Hg
0.500 0.500 0.250 Zr
0.000 0.000 0.994 W
0.000 0.000 0.506 W

=====

4.
PuU3Tc2, relaxed, DFT PBE; theoretical density = 17841 kg/m3; total moment = 0.00 μB/atom; E_form = -125.5 meV per atom; raw total energy = -11.6136 eV/atom; DOS(E_F) = 1.73 states/eV per atom
1.0
4.085 0.000 1.711
1.617 4.900 1.871
0.084 0.542 5.533
Tc Pu U
2 1 3
Direct
0.528 0.208 0.736 Tc
0.469 0.795 0.267 Tc
0.156 0.426 0.262 Pu
0.803 0.185 0.208 U
0.868 0.564 0.699 U
0.175 0.823 0.828 U

=====

5.
MgTlGe, relaxed, DFT PBE; theoretical density = 7022 kg/m3; total moment = 0.00 μB/atom; E_form = -13.3 meV per atom; raw total energy = -2.8727 eV/atom; DOS(E_F) = 0.29 states/eV per atom; E above lowest polymorph = 0 meV/atom
1.0
-1.236 -0.925 2.880
-2.211 -2.681 -1.810
8.167 -7.481 1.103
Mg Ge Tl
2 2 2
Direct
0.000 0.000 0.883 Mg
0.000 0.000 0.607 Mg
0.500 0.500 0.744 Ge
0.500 0.500 0.491 Ge
0.000 0.000 0.292 Tl
0.500 0.500 0.065 Tl

=====

6.
Co2WN, relaxed, DFT PBE; theoretical density = 11340 kg/m3; total moment = 0.00 μB/atom; formation energy from raw total energies = 12.17 kcal/mol of atoms; raw total energy = -8.3447 eV/atom; DOS(E_F) = 0.79 states/eV per atom
1.0
-1.204 2.229 1.029
-1.980 1.257 -1.406
-5.944 -2.951 3.070
Co W N
2 1 1
Direct
0.885 0.885 0.346 Co
0.115 0.115 0.654 Co
0.000 0.000 0.000 W
0.500 0.500 0.500 N

=====

7.
PmDyAlSn, relaxed, DFT PBE; theoretical density = 7158 kg/m3; total moment = 0.00 μB/atom; E_form = -444.9 meV per atom; raw total energy = -4.7194 eV/atom; DOS(E_F) = 0.65 states/eV per atom
1.0
-1.325 4.900 -1.517
-3.006 0.719 -4.303
-5.002 1.669 0.512
Dy Sn Al Pm
1 1 1 1
Direct
0.250 0.250 0.250 Dy
0.000 0.000 0.000 Sn
0.500 0.500 0.500 Al
0.750 0.750 0.750 Pm

=====

8.
MnSnIrPt, relaxed, DFT PBE; theoretical density = 14216 kg/m3; total moment = 0.94 μB/atom; E_form = -127.5 meV per atom; raw total energy = -7.1461 eV/atom; DOS(E_F) = 0.59 states/eV per atom
1.0
-0.087 -4.140 -2.655
2.003 1.262 -2.034
6.578 -1.506 5.542
Pt Ir Sn Mn
2 2 2 2
Direct
0.654 0.500 0.215 Pt
0.654 0.000 0.715 Pt
0.184 0.000 0.224 Ir
0.184 0.500 0.724 Ir
0.928 0.000 0.471 Sn
0.928 0.500 0.971 Sn
0.421 0.500 0.468 Mn
0.421 0.000 0.968 Mn

=====

9.
TaCo2AgMo, relaxed, DFT PBE; theoretical density = 8773 kg/m3; total moment = 0.71 μB/atom; E_form = 1994.8 meV per atom; raw total energy = -5.9545 eV/atom; DOS(E_F) = 2.20 states/eV per atom
1.0
-0.013 0.449 -4.413
1.921 -4.414 -0.455
-4.071 -1.754 -0.167
Mo Co Ta Ag
1 2 1 1
Direct
0.000 0.500 0.000 Mo
0.000 0.000 0.500 Co
0.500 0.000 0.000 Co
0.500 0.500 0.500 Ta
0.000 0.000 0.000 Ag